DFT (PBE+U) results for a relaxed GaWOF2 crystal.

DOS(E_F)   0.031 states/eV/atom
ΔE to the lowest computed polymorph   0 meV per atom

```
data_GaWOF2
_chemical_formula_sum 'Ga1 W1 O1 F2'
_symmetry_space_group_name_H-M 'P 4/m m m'
_symmetry_Int_Tables_number 123
_symmetry_space_group_name_Hall '-P 4 2'
_cell_length_a 4.285
_cell_length_b 4.285
_cell_length_c 4.245
_cell_angle_alpha 90.00
_cell_angle_beta 90.00
_cell_angle_gamma 90.00
loop_
_atom_site_label
_atom_site_type_symbol
_atom_site_fract_x
_atom_site_fract_y
_atom_site_fract_z
Ga1 Ga 0.000 0.000 0.000
W1 W 0.500 0.500 0.500
O1 O 0.500 0.500 0.000
F1 F 0.000 0.500 0.500
```